(1)
This record from the Alexandria database describes crystalline BC2 at its relaxed geometry. The functional is PBE.

Calculated values
- Space-group type: No. 25
- Relative energy among the computed polymorphs: 46 meV per atom
- DFT formation energy: 0.9 eV/f.u.

Cell lengths 2.4935, 2.4984, 12.2405 Å; angles 90.00, 90.00, 90.00 degrees
Last column: nearest neighbours and their distance in Å.
Sites, in units of the cell vectors:
B (0.0000, 0.0000, 0.0000)  4 C 1.64-1.67
B (0.0000, 0.0000, 0.3551)  4 B 1.82-1.83
B (0.0000, 0.5000, 0.2468)  2 C 1.65, 2 B 1.82
B (0.5000, 0.0000, 0.4643)  2 C 1.62
C (0.0000, 0.0000, 0.6949)  4 C 1.53-1.55
C (0.0000, 0.5000, 0.6193)  4 C 1.52-1.55
C (0.0000, 0.5000, 0.9135)  2 C 1.52, 2 B 1.64
C (0.5000, 0.0000, 0.0906)  2 C 1.50, 2 B 1.67
C (0.5000, 0.0000, 0.7669)  4 C 1.53-1.56
C (0.5000, 0.5000, 0.1582)  2 C 1.50, 2 B 1.65
C (0.5000, 0.5000, 0.5481)  2 C 1.52, 2 B 1.62
C (0.5000, 0.5000, 0.8431)  4 C 1.52-1.56

(2)
This record from the Alexandria database describes crystalline Sc3Cu2Rh at its relaxed geometry. The functional is PBE.

Calculated values
- Space-group type: No. 164
- DFT formation energy: -3.2 eV/f.u.

Cell lengths 4.5964, 4.5964, 11.2754 Å; angles 90.00, 90.00, 120.00 degrees
Last column: nearest neighbours and their distance in Å.
Sites, in units of the cell vectors:
Sc (0.0000, 0.0000, 0.2480)  5 Cu 2.80-2.84, 3 Rh 2.81
Sc (0.0000, 0.0000, 0.7520)  5 Cu 2.80-2.84, 3 Rh 2.81
Sc (0.3333, 0.6667, 0.4145)  7 Cu 2.80-2.82, 1 Rh 2.80
Sc (0.3333, 0.6667, 0.9165)  4 Rh 2.81, 4 Cu 2.82-2.84
Sc (0.6667, 0.3333, 0.0835)  4 Rh 2.81, 4 Cu 2.82-2.84
Sc (0.6667, 0.3333, 0.5855)  7 Cu 2.80-2.82, 1 Rh 2.80
Cu (0.0000, 0.0000, 0.0000)  8 Sc 2.80-2.82
Cu (0.0000, 0.0000, 0.5000)  8 Sc 2.82-2.84
Cu (0.3333, 0.6667, 0.6648)  8 Sc 2.80-2.84
Cu (0.6667, 0.3333, 0.3352)  8 Sc 2.80-2.84
Rh (0.3333, 0.6667, 0.1661)  8 Sc 2.80-2.81
Rh (0.6667, 0.3333, 0.8339)  8 Sc 2.80-2.81

(3)
This record from the Alexandria database describes crystalline Er3Al2Co at its relaxed geometry. The functional is PBE.

Calculated values
- Space-group type: No. 62
- DFT formation energy: -2.0 eV/f.u.

Cell lengths 11.8493, 4.4193, 10.3416 Å; angles 90.00, 90.00, 90.00 degrees
Last column: nearest neighbours and their distance in Å.
Sites, in units of the cell vectors:
Er (0.0545, 0.2500, 0.1157)  1 Co 2.72, 2 Al 2.98
Er (0.1160, 0.7500, 0.5637)  3 Co 2.80-2.98, 3 Al 2.96-3.03
Er (0.2369, 0.2500, 0.7936)  2 Co 2.94, 5 Al 2.95-3.20, 1 Er 3.29
Er (0.2631, 0.7500, 0.2936)  2 Co 2.94, 5 Al 2.95-3.20, 1 Er 3.29
Er (0.3840, 0.2500, 0.0637)  3 Co 2.80-2.98, 3 Al 2.96-3.03
Er (0.4455, 0.7500, 0.6157)  1 Co 2.72, 2 Al 2.98
Er (0.5545, 0.2500, 0.3843)  1 Co 2.72, 2 Al 2.98
Er (0.6160, 0.7500, 0.9363)  3 Co 2.80-2.98, 3 Al 2.96-3.03
Er (0.7369, 0.2500, 0.7064)  2 Co 2.94, 5 Al 2.95-3.20, 1 Er 3.29
Er (0.7631, 0.7500, 0.2064)  2 Co 2.94, 5 Al 2.95-3.20, 1 Er 3.29
Er (0.8840, 0.2500, 0.4363)  3 Co 2.80-2.98, 3 Al 2.96-3.03
Er (0.9455, 0.7500, 0.8843)  1 Co 2.72, 2 Al 2.98
Al (0.0142, 0.7500, 0.3027)  2 Co 2.60
Al (0.2048, 0.7500, 0.9911)  1 Co 2.50
Al (0.2952, 0.2500, 0.4911)  1 Co 2.50
Al (0.4858, 0.2500, 0.8027)  2 Co 2.60
Al (0.5142, 0.7500, 0.1973)  2 Co 2.60
Al (0.7048, 0.7500, 0.5089)  1 Co 2.50
Al (0.7952, 0.2500, 0.0089)  1 Co 2.50
Al (0.9858, 0.2500, 0.6973)  2 Co 2.60
Co (0.1129, 0.2500, 0.3699)  3 Al 2.50-2.60, 1 Er 2.72
Co (0.3871, 0.7500, 0.8699)  3 Al 2.50-2.60, 1 Er 2.72
Co (0.6129, 0.2500, 0.1301)  3 Al 2.50-2.60, 1 Er 2.72
Co (0.8871, 0.7500, 0.6301)  3 Al 2.50-2.60, 1 Er 2.72

(4)
This record from the Alexandria database describes crystalline Hf2Mn3Os at its relaxed geometry. The functional is PBE.

Calculated values
- Space-group type: No. 166
- DFT formation energy: -2.1 eV/f.u.

Cell lengths 5.0471, 5.0471, 5.0471 Å; angles 59.59, 59.59, 59.59 degrees
Last column: nearest neighbours and their distance in Å.
Sites, in units of the cell vectors:
Hf (0.1245, 0.1245, 0.1245)  3 Os 2.94, 9 Mn 2.95-2.97, 4 Hf 3.08-3.09
Hf (0.8755, 0.8755, 0.8755)  3 Os 2.94, 9 Mn 2.95-2.97, 4 Hf 3.08-3.09
Mn (0.0000, 0.5000, 0.5000)  4 Mn 2.51, 2 Os 2.52
Mn (0.5000, 0.0000, 0.5000)  4 Mn 2.51, 2 Os 2.52
Mn (0.5000, 0.5000, 0.0000)  4 Mn 2.51, 2 Os 2.52
Os (0.5000, 0.5000, 0.5000)  6 Mn 2.52

(5)
This record from the Alexandria database describes crystalline Re2RhSe at its relaxed geometry. The functional is PBE.

Calculated values
- Uncorrected formation energy: 0.550 eV/atom
- Space-group type: No. 47

Cell lengths 2.8972, 4.5218, 4.7130 Å; angles 90.00, 90.00, 90.00 degrees
Last column: nearest neighbours and their distance in Å.
Sites, in units of the cell vectors:
Re (0.0000, 0.0000, 0.0000)  6 Re 2.69-2.90, 4 Se 2.77
Re (0.5000, 0.5000, 0.0000)  6 Re 2.69-2.90, 4 Rh 2.77
Rh (0.0000, 0.5000, 0.5000)  4 Se 2.69, 4 Re 2.77, 2 Rh 2.90
Se (0.5000, 0.0000, 0.5000)  4 Rh 2.69, 4 Re 2.77, 2 Se 2.90

(6)
This record from the Alexandria database describes crystalline ErPa5Tc6 at its relaxed geometry. The functional is PBE.

Calculated values
- Space-group type: No. 10
- DFT formation energy: -2.3 eV/f.u.

Cell lengths 4.7352, 6.9036, 7.8427 Å; angles 90.00, 107.44, 90.00 degrees
Last column: nearest neighbours and their distance in Å.
Sites, in units of the cell vectors:
Er (0.0000, 0.0000, 0.0000)  8 Tc 3.03-3.14
Pa (0.0000, 0.5000, 0.0000)  8 Tc 2.83-3.16
Pa (0.3352, 0.5000, 0.6718)  8 Tc 2.91-2.96
Pa (0.3357, 0.0000, 0.6723)  8 Tc 2.93-3.10
Pa (0.6643, 0.0000, 0.3277)  8 Tc 2.93-3.10
Pa (0.6648, 0.5000, 0.3282)  8 Tc 2.91-2.96
Tc (0.1763, 0.2477, 0.3521)  7 Pa 2.93-3.16, 1 Er 3.14, 2 Tc 3.24
Tc (0.1763, 0.7523, 0.3521)  7 Pa 2.93-3.16, 1 Er 3.14, 2 Tc 3.24
Tc (0.5000, 0.2750, 0.0000)  6 Pa 2.83-3.10, 2 Er 3.03, 1 Tc 3.11
Tc (0.5000, 0.7250, 0.0000)  6 Pa 2.83-3.10, 2 Er 3.03, 1 Tc 3.11
Tc (0.8237, 0.2477, 0.6479)  7 Pa 2.93-3.16, 1 Er 3.14, 2 Tc 3.24
Tc (0.8237, 0.7523, 0.6479)  7 Pa 2.93-3.16, 1 Er 3.14, 2 Tc 3.24

(7)
This record from the Alexandria database describes crystalline RbNbRe2Mo at its relaxed geometry. The functional is PBE.

Calculated values
- Space-group type: No. 123
- DFT formation energy: 13.6 eV/f.u.

Cell lengths 4.8218, 4.8218, 5.3841 Å; angles 90.00, 90.00, 90.00 degrees
Last column: nearest neighbours and their distance in Å.
Sites, in units of the cell vectors:
Rb (0.0000, 0.0000, 0.0000)  2 Nb 2.69
Nb (0.0000, 0.0000, 0.5000)  4 Re 2.41, 2 Rb 2.69
Re (0.0000, 0.5000, 0.5000)  2 Nb 2.41
Re (0.5000, 0.0000, 0.5000)  2 Nb 2.41
Mo (0.5000, 0.5000, 0.0000)  4 Rb 3.41, 8 Re 3.61

(8)
This record from the Alexandria database describes crystalline MoPtN3 at its relaxed geometry. The functional is PBE.

Calculated values
- Uncorrected formation energy: 1.904 eV/atom
- Space-group type: No. 221

Cell lengths 3.8518, 3.8518, 3.8518 Å; angles 90.00, 90.00, 90.00 degrees
Last column: nearest neighbours and their distance in Å.
Sites, in units of the cell vectors:
Mo (0.0000, 0.0000, 0.0000)  12 N 2.72
Pt (0.5000, 0.5000, 0.5000)  6 N 1.93
N (0.0000, 0.5000, 0.5000)  2 Pt 1.93
N (0.5000, 0.0000, 0.5000)  2 Pt 1.93
N (0.5000, 0.5000, 0.0000)  2 Pt 1.93